A relaxed CsErP2Se6 crystal, computed with PBE.

## Properties
DFT total energy = -0.166 Ha/atom
density = 4.4 g cm⁻³
crystal system = monoclinic

abc: 7.924 12.906 12.898
angles: 90.00 106.65 90.00
Atoms (fractional coordinates):
Cs: 0.158 0.096 0.401
Cs: 0.158 0.404 0.901
Cs: 0.842 0.596 0.099
Cs: 0.842 0.904 0.599
Er: 0.395 0.616 0.598
Er: 0.395 0.884 0.098
Er: 0.605 0.116 0.902
Er: 0.605 0.384 0.402
P: 0.272 0.740 0.354
P: 0.272 0.760 0.854
P: 0.486 0.162 0.174
P: 0.486 0.338 0.674
P: 0.514 0.662 0.326
P: 0.514 0.838 0.826
P: 0.728 0.240 0.146
P: 0.728 0.260 0.646
Se: 0.117 0.612 0.393
Se: 0.117 0.888 0.893
Se: 0.134 0.676 0.704
Se: 0.134 0.824 0.204
Se: 0.328 0.099 0.014
Se: 0.328 0.401 0.514
Se: 0.335 0.217 0.729
Se: 0.335 0.283 0.229
Se: 0.372 0.670 0.004
Se: 0.372 0.830 0.504
Se: 0.435 0.520 0.226
Se: 0.435 0.980 0.726
Se: 0.565 0.020 0.274
Se: 0.565 0.480 0.774
Se: 0.628 0.170 0.496
Se: 0.628 0.330 0.996
Se: 0.665 0.717 0.771
Se: 0.665 0.783 0.271
Se: 0.672 0.599 0.486
Se: 0.672 0.901 0.986
Se: 0.866 0.176 0.796
Se: 0.866 0.324 0.296
Se: 0.883 0.112 0.107
Se: 0.883 0.388 0.607

---

A relaxed ErPuTc crystal, computed with PBE.

## Properties
density = 12.7 g cm⁻³
formation energy = 0.83 eV per atom
crystal system = cubic

abc: 4.547 4.547 4.547
angles: 60.00 60.00 60.00
Atoms (fractional coordinates):
Er: 0.000 0.000 0.000
Pu: 0.250 0.250 0.250
Tc: 0.500 0.500 0.500